[1]
## CaV2Os (PBE)

Data for an optimized crystal structure of CaV2Os.

**Excess energy over the best structure of this formula in the dataset**: 7 meV per atom
**DFT total energy**: -7.856 eV/atom
**DOS at the Fermi energy**: 4.226 states/eV/f.u.

Cell lengths 4.2974, 4.2974, 32.2127 Å; angles 90.00, 90.00, 120.00 degrees
With the nearest neighbours (Å) after each atom.
Sites, in units of the cell vectors:
V  0.6667  0.3333  0.2467  4 Os 2.53-2.60, 3 V 2.62
V  0.3333  0.6667  0.3060  4 Os 2.39-2.58
V  0.6667  0.3333  0.6775  1 V 2.30, 3 Os 2.54
V  0.3333  0.6667  0.9396  1 V 2.30
V  0.6667  0.3333  0.6063  1 V 2.30
V  0.0000  0.0000  0.3442  1 V 2.30, 3 Os 2.54
V  0.3333  0.6667  0.0109  1 V 2.30, 3 Os 2.54
V  0.6667  0.3333  0.9727  4 Os 2.39-2.58
V  0.3333  0.6667  0.5801  4 Os 2.53-2.60, 3 V 2.62
V  0.0000  0.0000  0.6394  4 Os 2.39-2.58
V  0.0000  0.0000  0.9134  4 Os 2.53-2.60, 3 V 2.62
V  0.0000  0.0000  0.2729  1 V 2.30
Os  0.0000  0.0000  0.5653  4 V 2.39-2.53
Os  0.3333  0.6667  0.2320  4 V 2.39-2.53
Os  0.6667  0.3333  0.3276  7 V 2.54-2.60
Os  0.0000  0.0000  0.9942  7 V 2.54-2.60
Os  0.6667  0.3333  0.8986  4 V 2.39-2.53
Os  0.3333  0.6667  0.6609  7 V 2.54-2.60
Ca  0.3333  0.6667  0.4050  4 V 3.16-3.19, 3 Os 3.52
Ca  0.3333  0.6667  0.8393  3 Os 3.13, 4 V 3.23-3.44
Ca  0.6667  0.3333  0.0716  4 V 3.16-3.19, 3 Os 3.52
Ca  0.0000  0.0000  0.1727  3 Os 3.13, 4 V 3.23-3.44
Ca  0.0000  0.0000  0.7383  4 V 3.16-3.19, 3 Os 3.52
Ca  0.6667  0.3333  0.5060  3 Os 3.13, 4 V 3.23-3.44

[2]
## La6Dy12In (PBE)

Data for an optimized crystal structure of La6Dy12In.

**DFT total energy**: -4.546 eV/atom
**DOS at the Fermi energy**: 25.403 states/eV/f.u.

Cell lengths 8.5602, 8.5602, 8.5602 Å; angles 89.47, 89.47, 89.47 degrees
With the nearest neighbours (Å) after each atom.
Sites, in units of the cell vectors:
La  0.0921  0.6970  0.2648  7 Dy 3.36-3.66, 1 In 3.52, 2 La 3.55
La  0.6970  0.2648  0.0921  7 Dy 3.36-3.66, 1 In 3.52, 2 La 3.55
La  0.7352  0.9079  0.3030  7 Dy 3.36-3.66, 1 In 3.52, 2 La 3.55
La  0.2648  0.0921  0.6970  7 Dy 3.36-3.66, 1 In 3.52, 2 La 3.55
La  0.3030  0.7352  0.9079  7 Dy 3.36-3.66, 1 In 3.52, 2 La 3.55
La  0.9079  0.3030  0.7352  7 Dy 3.36-3.66, 1 In 3.52, 2 La 3.55
Dy  0.9823  0.8200  0.6400  4 La 3.41-3.66, 1 In 3.46, 4 Dy 3.50-3.71
Dy  0.0177  0.1800  0.3600  4 La 3.41-3.66, 1 In 3.46, 4 Dy 3.50-3.71
Dy  0.5349  0.4374  0.7785  5 Dy 3.28-3.67, 3 La 3.36-3.40
Dy  0.2215  0.4651  0.5626  5 Dy 3.28-3.67, 3 La 3.36-3.40
Dy  0.8200  0.6400  0.9823  4 La 3.41-3.66, 1 In 3.46, 4 Dy 3.50-3.71
Dy  0.3600  0.0177  0.1800  4 La 3.41-3.66, 1 In 3.46, 4 Dy 3.50-3.71
Dy  0.5626  0.2215  0.4651  5 Dy 3.28-3.67, 3 La 3.36-3.40
Dy  0.4651  0.5626  0.2215  5 Dy 3.28-3.67, 3 La 3.36-3.40
Dy  0.6400  0.9823  0.8200  4 La 3.41-3.66, 1 In 3.46, 4 Dy 3.50-3.71
Dy  0.1800  0.3600  0.0177  4 La 3.41-3.66, 1 In 3.46, 4 Dy 3.50-3.71
Dy  0.4374  0.7785  0.5349  5 Dy 3.28-3.67, 3 La 3.36-3.40
Dy  0.7785  0.5349  0.4374  5 Dy 3.28-3.67, 3 La 3.36-3.40
In  0.0000  0.0000  0.0000  6 Dy 3.46, 6 La 3.52